DFT (GGA-PBEsol) results for a relaxed structure of Ba2PrBiO6.

Cell and atoms, written as POSCAR:
```
Ba2PrBiO6
1.0
6.2218 0.0000 0.0000
3.1109 5.3883 0.0000
3.1109 1.7961 5.0801
Pr Bi O Ba
1 1 6 2
Cartesian
6.2218 3.5922 2.5401
0.0000 0.0000 0.0000
6.2218 1.7180 1.2148
4.5988 2.6551 3.8653
7.8449 4.5293 1.2148
4.5988 4.5293 1.2148
6.2218 5.4663 3.8653
7.8449 2.6551 3.8653
9.3328 5.3883 3.8101
3.1109 1.7961 1.2700
```

Computed properties:
Uncorrected energy ... -6.860 eV/atom
Symmetry ... No. 225
Formation energy without anion corrections ... -2.334 eV/atom
Size of the total moment ... 0.00 μB/cell